# HfAg3F8 (GGA-PBE, optimized geometry)
data_HfAg3F8
_chemical_formula_sum 'Hf1 Ag3 F8'
_symmetry_space_group_name_H-M 'P m -3 m'
_symmetry_Int_Tables_number 221
_symmetry_space_group_name_Hall '-P 4 2 3'
_cell_length_a 5.525
_cell_length_b 5.525
_cell_length_c 5.525
_cell_angle_alpha 90.00
_cell_angle_beta 90.00
_cell_angle_gamma 90.00
loop_
_atom_site_label
_atom_site_type_symbol
_atom_site_fract_x
_atom_site_fract_y
_atom_site_fract_z
Hf1 Hf 0.000 0.000 0.000
Ag1 Ag 0.000 0.500 0.500
F1 F 0.224 0.224 0.224
# Total magnetization = 1.18 μB per formula unit
# Raw total energy = -4.95 eV/atom
# Formation energy (no corrections) = -2.16 eV/atom
# Crystal system = cubic
# N(E_F) = 1.23 states/eV/atom
# Density = 6.44 g/cm³


# Pr2Nd2SiRh4 (GGA-PBE, optimized geometry)
data_Pr2Nd2SiRh4
_chemical_formula_sum 'Pr4 Nd4 Si2 Rh8'
_symmetry_space_group_name_H-M 'I 4/m m m'
_symmetry_Int_Tables_number 139
_symmetry_space_group_name_Hall '-I 4 2'
_cell_length_a 6.690
_cell_length_b 6.690
_cell_length_c 8.998
_cell_angle_alpha 90.00
_cell_angle_beta 90.00
_cell_angle_gamma 90.00
loop_
_atom_site_label
_atom_site_type_symbol
_atom_site_fract_x
_atom_site_fract_y
_atom_site_fract_z
Pr1 Pr 0.000 0.500 0.250
Nd1 Nd 0.000 0.000 0.182
Si1 Si 0.000 0.000 0.500
Rh1 Rh 0.246 0.246 0.500
# Total magnetization = 0.00 μB per formula unit
# Raw total energy = -6.44 eV/atom
# Formation energy (no corrections) = -0.45 eV/atom
# Crystal system = tetragonal
# N(E_F) = 0.90 states/eV/atom
# Density = 8.33 g/cm³


# ScZnOs2 (GGA-PBE, optimized geometry)
data_ScZnOs2
_chemical_formula_sum 'Sc2 Zn2 Os4'
_symmetry_space_group_name_H-M 'C 1 2/m 1'
_symmetry_Int_Tables_number 12
_cell_length_a 5.562
_cell_length_b 8.869
_cell_length_c 2.777
_cell_angle_alpha 90.00
_cell_angle_beta 116.20
_cell_angle_gamma 90.00
loop_
_symmetry_equiv_pos_as_xyz
'x,y,z'
'-x,-y,-z'
'-x,y,-z'
'x,-y,z'
'x+1/2,y+1/2,z'
'-x+1/2,-y+1/2,-z'
'-x+1/2,y+1/2,-z'
'x+1/2,-y+1/2,z'
loop_
_atom_site_label
_atom_site_type_symbol
_atom_site_fract_x
_atom_site_fract_y
_atom_site_fract_z
Sc1 Sc 0.000 0.000 0.000
Zn1 Zn 0.000 0.500 0.000
Os1 Os 0.250 0.250 0.500
# Total magnetization = 0.00 μB per formula unit
# Energy relative to the elements = 0.03 eV per atom
# Raw total energy = -7.48 eV/atom
# Crystal system = monoclinic
# N(E_F) = 0.91 states/eV/atom
# Density = 13.26 g/cm³